1.
Computed, not measured: a relaxed LiTbCdPb crystal at the PBE level of DFT.

Values from the calculation:
Polymorph energy (0 for the lowest one) ... 0.01 eV/f.u.
DOS(E_F) ... 0.423 states/eV/atom
Formation energy from the elements ... -361 meV/atom
V ... 24.58 A^3/atom

a = 4.2737 Å, b = 4.6789 Å, c = 4.9168 Å
α = 90.00°, β = 90.00°, γ = 90.00°
Closest atoms and distances in Å follow each position.
Space group Pmmm (No. 47)
Symmetry-distinct sites (fractional):
Li1 0.0000 0.0000 0.0000  4 Cd 3.17, 4 Pb 3.26, 4 Tb 3.39
Tb1 0.0000 0.5000 0.5000  4 Pb 3.17, 4 Cd 3.26, 4 Li 3.39
Cd1 0.5000 0.5000 0.0000  4 Li 3.17, 4 Tb 3.26, 4 Pb 3.39
Pb1 0.5000 0.0000 0.5000  4 Tb 3.17, 4 Li 3.26, 4 Cd 3.39


2.
Computed, not measured: a relaxed KLi2SbCl6 crystal at the PBE level of DFT.

Values from the calculation:
E_form (uncorrected) ... -142.1 kJ per mole of atoms
DOS(E_F) ... 0.000 states/eV/atom
V ... 28.90 A^3/atom

a = 6.6339 Å, b = 6.6339 Å, c = 22.7482 Å
α = 90.00°, β = 90.00°, γ = 120.00°
Closest atoms and distances in Å follow each position.
Space group R-3 (No. 148, hexagonal axes)
Symmetry-distinct sites (fractional):
K1 0.0000 0.0000 0.0000  6 Cl 3.21
Li1 0.0000 0.0000 0.1732  6 Cl 2.55-2.70
Sb1 0.0000 0.0000 0.5000  6 Cl 2.68
Cl1 0.0015 0.6607 0.5634  2 Li 2.55-2.70, 1 Sb 2.68